Computed, not measured: an optimized crystal structure of Nd2ThH at the PBE-GGA level of DFT.

The structure in CIF format:
```
data_Nd2ThH
_chemical_formula_sum 'Nd6 Th3 H3'
_symmetry_space_group_name_H-M 'R -3 m'
_symmetry_Int_Tables_number 166
_symmetry_space_group_name_Hall '-R 3 2"'
_cell_length_a 3.5104
_cell_length_b 3.5104
_cell_length_c 29.3714
_cell_angle_alpha 90.00
_cell_angle_beta 90.00
_cell_angle_gamma 120.00
loop_
_atom_site_label
_atom_site_type_symbol
_atom_site_fract_x
_atom_site_fract_y
_atom_site_fract_z
Nd1 Nd 0.0000 0.0000 0.1164
Th1 Th 0.0000 0.0000 0.0000
H1 H 0.0000 0.0000 0.5000
```

Calculated values
calculated volume: 26.1 A^3/atom
raw total energy: -20.2 eV per formula unit